Entry 1:
VASP calculation (PBE) on a relaxed structure of YMoSe2Br.

extended XYZ file:
```
5
Lattice="5.491 0.000 0.000 0.000 5.491 0.000 0.000 0.000 5.384" Properties=species:S:1:pos:R:3 pbc="T T T"
Y 0.000 0.000 0.000
Mo 2.745 2.745 2.692
Se 0.000 2.745 0.000
Se 2.745 0.000 0.000
Br 0.000 0.000 2.692
```

Output
For the excess energy over the best structure of this formula in the dataset, the calculation gives 277 meV per atom. The calculation puts the density at 4.324 g/cm3. Its symmetry is P4/mmm. The calculation puts the uncorrected formation energy at 24.5 meV per atom. As for the total energy: -5.16 eV per atom. The value obtained for the calculated volume is 32.46 Å³ per atom.

=====

Entry 2:
VASP calculation (PBE) on a relaxed structure of YMoSeBr2.

extended XYZ file:
```
5
Lattice="5.511 0.000 0.000 0.000 5.511 0.000 0.000 0.000 5.544" Properties=species:S:1:pos:R:3 pbc="T T T"
Y 0.000 0.000 0.000
Mo 2.756 2.756 2.772
Se 0.000 0.000 2.772
Br 0.000 2.756 0.000
Br 2.756 0.000 0.000
```

Output
For the excess energy over the best structure of this formula in the dataset, the calculation gives 0 meV per atom. The calculation puts the density at 4.177 g/cm3. Its symmetry is P4/mmm. The calculation puts the uncorrected formation energy at -191.7 meV per atom. As for the total energy: -5.02 eV per atom. The value obtained for the calculated volume is 33.68 Å³ per atom.